Below is a relaxed LaZr2Fe2 crystal, with properties calculated at the PBE level.

Lattice parameters (Å, degrees): 6.139 6.139 6.139 136.29 136.29 63.54
Element x y z (fractional)
La 0.000 0.000 0.000
Zr 0.345 0.345 0.000
Zr 0.655 0.655 0.000
Fe 0.250 0.750 0.500
Fe 0.750 0.250 0.500

Calculated values
Energy of formation from the pure elements in meV/atom: 279
Volume in A^3/atom: 21.8
Offset from the most stable computed form in meV per atom: 262.0